1.
Here is GdTmGa2I2 after structural relaxation from the Open Quantum Materials Database. Energies are from GGA-PBE.

The structure in POSCAR format:
```
GdTmGa2I2
1.0
-1.8655 -3.1467 -2.0488
4.1698 0.4148 -0.1435
1.0374 -7.0226 9.8413
Ga Gd I Tm
2 1 2 1
Cartesian
0.6327 -5.2524 3.2007
2.7035 -4.4650 4.3960
0.6902 -4.6723 6.5477
2.3376 -1.9878 0.9246
1.0096 -7.8043 6.7769
0.3471 -2.3501 3.2933
```

SG = No. 156
E_tot = -24.38 eV/f.u.

---

2.
Here is GdYGa2I2 after structural relaxation from the Open Quantum Materials Database. Energies are from GGA-PBE.

The structure in POSCAR format:
```
GdYGa2I2
1.0
4.2188 0.0000 0.0000
-2.1094 3.6536 0.0000
0.0000 0.0000 12.2252
Ga Gd I Y
2 1 2 1
Cartesian
2.1094 1.2179 5.7715
0.0000 2.4357 6.4505
0.0000 0.0000 8.1338
0.0000 2.4357 2.0884
2.1094 1.2179 10.1439
0.0000 0.0000 4.0874
```

SG = No. 156
E_tot = -26.59 eV/f.u.